The following is a GGA-PBEsol calculation of an optimized crystal structure of Si2PtPb, from Alexandria.

Values from the calculation:
**V**: 193 Å³/cell
**ΔE_f (raw)**: 0.089 eV per atom
**Total magnetization**: 0.000 μB per cell
**Raw total energy**: -0.40610 Ry per atom

Cell lengths 7.151, 7.151, 7.151 Å; angles 132.88, 132.88, 68.85 degrees
Fractional positions:
1 Si 0.057 0.625 0.932
2 Si 0.375 0.307 0.432
3 Si 0.693 0.125 0.068
4 Si 0.875 0.943 0.568
5 Pt 0.000 0.000 0.000
6 Pt 0.750 0.250 0.500
7 Pb 0.250 0.750 0.500
8 Pb 0.500 0.500 0.000